First-principles (GGA+U) data for crystalline PmHoMo2O8 at its relaxed geometry, as listed in the Alexandria database.

Computed properties:
Mass density   6.67 g cm⁻³
Space-group type   I-4 (82)
DFT total energy   -7.710 eV/atom

Unit cell a=5.2913 b=5.2913 c=6.7329 alpha=113.14 beta=113.14 gamma=90.00
With the nearest neighbours (Å) after each atom.
Element x y z (fractional)
O1 0.1056 0.0102 0.6764  1 Mo 1.82
O2 0.4020 0.3268 0.1801  1 Mo 1.99
O3 0.6732 0.2219 0.8199  1 Mo 1.99
O4 0.3338 0.8944 0.3236  1 Mo 1.82
O5 0.7781 0.8533 0.1801  1 Mo 1.99
O6 0.5708 0.6662 0.6764  1 Mo 1.82
O7 0.1467 0.5980 0.8199  1 Mo 1.99
O8 0.9898 0.4292 0.3236  1 Mo 1.82
Mo1 0.2500 0.7500 0.5000  4 O 1.82
Mo2 0.5000 0.5000 0.0000  4 O 1.99
Ho1 0.0000 0.0000 0.0000  8 O 2.30-2.47
Pm1 0.7500 0.2500 0.5000  8 O 2.40-2.45